No. 1
{
  "formula": "Pr3Sm4Hg2",
  "functional": "PBE",
  "state": "optimized geometry",
  "lattice_angstrom": [[7.678, -2.522, 0.000], [7.678, 2.522, 0.000], [-2.546, 0.000, 7.322]],
  "species": ["Pr", "Pr", "Pr", "Sm", "Sm", "Sm", "Sm", "Hg", "Hg"],
  "frac_coords": [[0.000, 0.000, 0.000], [0.116, 0.116, 0.676], [0.884, 0.884, 0.324], [0.222, 0.222, 0.297], [0.441, 0.441, 0.663], [0.559, 0.559, 0.337], [0.778, 0.778, 0.703], [0.344, 0.344, 0.002], [0.656, 0.656, 0.998]],
  "energy_ev_per_cell": -34.9,
  "sg": "C2/m"
}



No. 2
{
  "formula": "LaCd2Au",
  "functional": "PBE",
  "state": "optimized geometry",
  "lattice_angstrom": [[-2.580, 2.582, 3.645], [2.580, -2.582, 3.645], [2.580, 2.582, -3.645]],
  "species": ["La", "Cd", "Cd", "Au"],
  "frac_coords": [[0.000, 0.000, 0.000], [0.250, 0.750, 0.500], [0.500, 0.500, 0.000], [0.750, 0.250, 0.500]],
  "energy_ev_per_cell": -12.0,
  "sg": "Imm2"
}



No. 3
{
  "formula": "Pa5Ge4C",
  "functional": "PBE",
  "state": "optimized geometry",
  "lattice_angstrom": [[-4.485, 4.485, 2.874], [4.485, -4.485, 2.874], [4.485, 4.485, -2.874]],
  "species": ["Pa", "Pa", "Pa", "Pa", "Pa", "Ge", "Ge", "Ge", "Ge", "C"],
  "frac_coords": [[0.000, 0.000, 0.000], [0.239, 0.604, 0.828], [0.411, 0.239, 0.635], [0.604, 0.776, 0.365], [0.776, 0.411, 0.172], [0.094, 0.315, 0.395], [0.315, 0.920, 0.221], [0.699, 0.094, 0.779], [0.920, 0.699, 0.605], [0.518, 0.518, 0.000]],
  "energy_ev_per_cell": -78.6,
  "sg": "I4"
}



No. 4
{
  "formula": "Pa8Ir5Ru",
  "functional": "PBE",
  "state": "optimized geometry",
  "lattice_angstrom": [[-4.259, 4.259, 4.337], [4.259, -4.259, 4.337], [4.259, 4.259, -4.337]],
  "species": ["Pa", "Pa", "Pa", "Pa", "Pa", "Pa", "Pa", "Pa", "Ir", "Ir", "Ir", "Ir", "Ir", "Ru"],
  "frac_coords": [[0.249, 0.508, 0.132], [0.377, 0.118, 0.868], [0.377, 0.125, 0.370], [0.492, 0.623, 0.741], [0.755, 0.007, 0.630], [0.875, 0.245, 0.252], [0.882, 0.751, 0.259], [0.993, 0.623, 0.748], [0.000, 0.000, 0.000], [0.127, 0.254, 0.633], [0.505, 0.873, 0.126], [0.621, 0.495, 0.367], [0.746, 0.379, 0.874], [0.250, 0.750, 0.500]],
  "energy_ev_per_cell": -138.3,
  "sg": "I-4"
}



No. 5
{
  "formula": "LaZn3Cd3",
  "functional": "PBE",
  "state": "optimized geometry",
  "lattice_angstrom": [[7.040, 0.000, 0.000], [0.000, 4.645, 0.000], [-3.069, 0.000, 9.137]],
  "species": ["La", "La", "Zn", "Zn", "Zn", "Zn", "Zn", "Zn", "Cd", "Cd", "Cd", "Cd", "Cd", "Cd"],
  "frac_coords": [[0.126, 0.250, 0.277], [0.874, 0.750, 0.723], [0.120, 0.250, 0.625], [0.242, 0.750, 0.541], [0.263, 0.750, 0.085], [0.737, 0.250, 0.915], [0.758, 0.250, 0.459], [0.880, 0.750, 0.375], [0.176, 0.250, 0.924], [0.424, 0.750, 0.840], [0.497, 0.750, 0.378], [0.503, 0.250, 0.622], [0.576, 0.250, 0.160], [0.824, 0.750, 0.076]],
  "energy_ev_per_cell": -26.4,
  "sg": "P2_1/m"
}



No. 6
{
  "formula": "Er2HfH",
  "functional": "PBE",
  "state": "optimized geometry",
  "lattice_angstrom": [[3.219, 0.000, 0.000], [0.000, 3.219, 0.000], [0.000, 0.000, 7.968]],
  "species": ["Er", "Er", "Hf", "H"],
  "frac_coords": [[0.000, 0.000, 0.208], [0.000, 0.000, 0.792], [0.500, 0.500, 0.500], [0.500, 0.500, 0.000]],
  "energy_ev_per_cell": -21.9,
  "sg": "P4/mmm"
}



No. 7
{
  "formula": "HAu2Cl8",
  "functional": "PBE",
  "state": "optimized geometry",
  "lattice_angstrom": [[6.386, -4.790, 0.000], [6.386, 4.790, 0.000], [-0.978, 0.000, 6.217]],
  "species": ["H", "Au", "Au", "Cl", "Cl", "Cl", "Cl", "Cl", "Cl", "Cl", "Cl"],
  "frac_coords": [[0.000, 0.000, 0.000], [0.166, 0.166, 0.648], [0.834, 0.834, 0.352], [0.084, 0.781, 0.172], [0.219, 0.916, 0.828], [0.288, 0.288, 0.427], [0.454, 0.454, 0.854], [0.546, 0.546, 0.146], [0.712, 0.712, 0.573], [0.781, 0.084, 0.172], [0.916, 0.219, 0.828]],
  "energy_ev_per_cell": -23.9,
  "sg": "C2/m"
}



No. 8
{
  "formula": "LiPuTeCl",
  "functional": "PBE",
  "state": "optimized geometry",
  "lattice_angstrom": [[2.253, 1.301, 12.133], [-2.253, 1.301, 12.133], [0.000, -2.601, 12.133]],
  "species": ["Li", "Li", "Pu", "Pu", "Te", "Te", "Cl", "Cl"],
  "frac_coords": [[0.193, 0.193, 0.193], [0.807, 0.807, 0.807], [0.396, 0.396, 0.396], [0.604, 0.604, 0.604], [0.115, 0.115, 0.115], [0.885, 0.885, 0.885], [0.304, 0.304, 0.304], [0.696, 0.696, 0.696]],
  "e_form_raw_mev_per_atom": -1274,
  "sg": "R-3m"
}